The following is a DFT calculation (PBE) of NaS2IN after structural relaxation.

The total magnetization is 0.07 Bohr magnetons per cell. The energy relative to the elements, uncorrected is 0.84 eV/atom. The calculation puts the density of states at the Fermi level at 5.50 states/eV/f.u. The calculation puts the relative energy among the computed polymorphs at 0.00 eV per formula unit.

a b c (Å): 5.2292 5.2292 4.0618
angles (deg): 90.00 90.00 90.00
Fractional coordinates of all 5 atoms:
Na1 0.0000 0.0000 0.0000
S1 0.0000 0.5000 0.5000
S2 0.5000 0.0000 0.5000
I1 0.5000 0.5000 0.5000
N1 0.5000 0.5000 0.0000

---

The following is a DFT calculation (PBE) of Lu2HfTa after structural relaxation.

The total magnetization is 0.95 Bohr magnetons per cell. The calculation puts the density of states at the Fermi level at 5.46 states/eV/f.u. The formation energy from the elements is 2.09 eV/f.u.

a b c (Å): 3.1605 3.1605 33.3246
angles (deg): 90.00 90.00 120.00
Fractional coordinates of all 12 atoms:
Lu1 0.0000 0.0000 0.0882
Lu2 0.0000 0.0000 0.9118
Lu3 0.3333 0.6667 0.5785
Lu4 0.3333 0.6667 0.7548
Lu5 0.6667 0.3333 0.2452
Lu6 0.6667 0.3333 0.4215
Hf1 0.0000 0.0000 0.5000
Hf2 0.3333 0.6667 0.1667
Hf3 0.6667 0.3333 0.8333
Ta1 0.0000 0.0000 0.0000
Ta2 0.3333 0.6667 0.6667
Ta3 0.6667 0.3333 0.3333

---

The following is a DFT calculation (PBE) of MnBeCo after structural relaxation.

The total magnetization is 0.00 Bohr magnetons per cell. The calculation puts the density of states at the Fermi level at 2.67 states/eV/f.u. The calculation puts the relative energy among the computed polymorphs at 0.44 eV per formula unit. The formation energy from the elements is -0.04 eV/f.u.

a b c (Å): 2.5080 3.9196 6.0909
angles (deg): 92.66 101.85 90.03
Fractional coordinates of all 6 atoms:
Mn1 0.0000 0.0000 0.0000
Mn2 0.4201 0.5001 0.9998
Be1 0.2870 0.0910 0.6597
Be2 0.6268 0.9068 0.3404
Co1 0.1100 0.4010 0.3377
Co2 0.7731 0.5971 0.6621

---

The following is a DFT calculation (PBE) of BBr after structural relaxation.

The total magnetization is 0.00 Bohr magnetons per cell. The energy relative to the elements, uncorrected is 0.28 eV/atom. The calculation puts the density of states at the Fermi level at 0.23 states/eV/f.u. The calculation puts the relative energy among the computed polymorphs at 1.22 eV per formula unit.

a b c (Å): 3.0953 17.1201 5.6336
angles (deg): 90.00 90.00 90.00
Fractional coordinates of all 12 atoms:
B1 0.2500 0.1966 0.1678
B2 0.2500 0.3034 0.1678
B3 0.2500 0.7500 0.8388
B4 0.7500 0.2500 0.1612
B5 0.7500 0.6966 0.8322
B6 0.7500 0.8034 0.8322
Br1 0.2500 0.0870 0.2491
Br2 0.2500 0.2500 0.7722
Br3 0.2500 0.4130 0.2491
Br4 0.7500 0.5870 0.7509
Br5 0.7500 0.7500 0.2278
Br6 0.7500 0.9130 0.7509

---

The following is a DFT calculation (PBE) of Nd3RuBr after structural relaxation.

The total magnetization is 0.00 Bohr magnetons per cell. The energy relative to the elements, uncorrected is -0.52 eV/atom. The calculation puts the density of states at the Fermi level at 3.61 states/eV/f.u. The calculation puts the relative energy among the computed polymorphs at 0.16 eV per formula unit.

a b c (Å): 4.0883 7.4970 9.6450
angles (deg): 90.00 90.00 90.00
Fractional coordinates of all 10 atoms:
Nd1 0.2500 0.0000 0.1546
Nd2 0.2500 0.2500 0.5897
Nd3 0.2500 0.5000 0.1546
Nd4 0.7500 0.0000 0.8454
Nd5 0.7500 0.5000 0.8454
Nd6 0.7500 0.7500 0.4103
Ru1 0.2500 0.2500 0.8961
Ru2 0.7500 0.7500 0.1039
Br1 0.2500 0.7500 0.6631
Br2 0.7500 0.2500 0.3369

---

The following is a DFT calculation (PBE) of Cs2CeCdSe4 after structural relaxation.

The total magnetization is 0.00 Bohr magnetons per cell. The energy relative to the elements, uncorrected is -1.14 eV/atom.

a b c (Å): 8.1598 8.1598 9.7948
angles (deg): 90.00 90.00 90.00
Fractional coordinates of all 16 atoms:
Cs1 0.0000 0.0000 0.0000
Cs2 0.0000 0.5000 0.2500
Cs3 0.5000 0.0000 0.7500
Cs4 0.5000 0.5000 0.5000
Ce1 0.0000 0.5000 0.7500
Ce2 0.5000 0.0000 0.2500
Cd1 0.0000 0.0000 0.5000
Cd2 0.5000 0.5000 0.0000
Se1 0.1594 0.2486 0.6220
Se2 0.2486 0.8406 0.3780
Se3 0.2514 0.6594 0.8780
Se4 0.3406 0.2514 0.1220
Se5 0.6594 0.7486 0.1220
Se6 0.7486 0.3406 0.8780
Se7 0.7514 0.1594 0.3780
Se8 0.8406 0.7514 0.6220

---

The following is a DFT calculation (PBE) of Cr2Cd after structural relaxation.

The total magnetization is 0.00 Bohr magnetons per cell. The calculation puts the density of states at the Fermi level at 1.73 states/eV/f.u. The formation energy from the elements is 1.23 eV/f.u.

a b c (Å): 2.9633 13.5260 4.5168
angles (deg): 90.00 90.00 90.00
Fractional coordinates of all 12 atoms:
Cr1 0.0000 0.1371 0.2500
Cr2 0.0000 0.2442 0.7500
Cr3 0.0000 0.7558 0.2500
Cr4 0.0000 0.8629 0.7500
Cr5 0.5000 0.2558 0.2500
Cr6 0.5000 0.3629 0.7500
Cr7 0.5000 0.6371 0.2500
Cr8 0.5000 0.7442 0.7500
Cd1 0.0000 0.4352 0.2500
Cd2 0.0000 0.5648 0.7500
Cd3 0.5000 0.0648 0.7500
Cd4 0.5000 0.9352 0.2500

---

The following is a DFT calculation (PBE) of Al3Ga after structural relaxation.

The total magnetization is 0.00 Bohr magnetons per cell. The calculation puts the density of states at the Fermi level at 0.82 states/eV/f.u. The formation energy from the elements is 0.02 eV/f.u.

a b c (Å): 4.0709 4.0709 4.0709
angles (deg): 90.00 90.00 90.00
Fractional coordinates of all 4 atoms:
Al1 0.0000 0.0000 0.5000
Al2 0.0000 0.5000 0.0000
Al3 0.5000 0.0000 0.0000
Ga1 0.5000 0.5000 0.5000